No. 1
# CdRe2Sn2, relaxed, DFT PBE
# **Magnetization**: 0.53 μB/cell
# **Formation energy**: 0.783 eV per atom
# **Energy above the lowest structure with this stoichiometry**: 253.9 meV per atom
data_CdRe2Sn2
_chemical_formula_sum 'Cd2 Re4 Sn4'
_symmetry_space_group_name_H-M 'I 4/m m m'
_symmetry_Int_Tables_number 139
_symmetry_space_group_name_Hall '-I 4 2'
_cell_length_a 4.616
_cell_length_b 4.616
_cell_length_c 10.605
_cell_angle_alpha 90.00
_cell_angle_beta 90.00
_cell_angle_gamma 90.00
loop_
_atom_site_label
_atom_site_type_symbol
_atom_site_fract_x
_atom_site_fract_y
_atom_site_fract_z
_atom_site_occupancy
Cd1 Cd 0.000 0.000 0.000 1
Re1 Re 0.000 0.000 0.391 1
Sn1 Sn 0.000 0.500 0.250 1

No. 2
# Cd3ReSn, relaxed, DFT PBE
# **Magnetization**: 0.75 μB/cell
# **Formation energy**: 0.994 eV per atom
# **Energy above the lowest structure with this stoichiometry**: 0.0 meV per atom
data_Cd3ReSn
_chemical_formula_sum 'Cd3 Re1 Sn1'
_symmetry_space_group_name_H-M 'P m -3 m'
_symmetry_Int_Tables_number 221
_symmetry_space_group_name_Hall '-P 4 2 3'
_cell_length_a 5.236
_cell_length_b 5.236
_cell_length_c 5.236
_cell_angle_alpha 90.00
_cell_angle_beta 90.00
_cell_angle_gamma 90.00
loop_
_atom_site_label
_atom_site_type_symbol
_atom_site_fract_x
_atom_site_fract_y
_atom_site_fract_z
_atom_site_occupancy
Cd1 Cd 0.000 0.000 0.500 1
Re1 Re 0.000 0.000 0.000 1
Sn1 Sn 0.500 0.500 0.500 1

No. 3
# CdReSn2, relaxed, DFT PBE
# **Magnetization**: 0.00 μB/cell
# **Formation energy**: 0.695 eV per atom
data_CdReSn2
_chemical_formula_sum 'Cd3 Re3 Sn6'
_symmetry_space_group_name_H-M 'R -3 m'
_symmetry_Int_Tables_number 166
_symmetry_space_group_name_Hall '-R 3 2"'
_cell_length_a 2.9864
_cell_length_b 2.9864
_cell_length_c 35.1469
_cell_angle_alpha 90.00
_cell_angle_beta 90.00
_cell_angle_gamma 120.00
loop_
_atom_site_label
_atom_site_type_symbol
_atom_site_fract_x
_atom_site_fract_y
_atom_site_fract_z
_atom_site_occupancy
Cd1 Cd 0.0000 0.0000 0.0000 1
Re1 Re 0.0000 0.0000 0.5000 1
Sn1 Sn 0.0000 0.0000 0.4206 1

No. 4
# CdRe2Sn2, relaxed, DFT PBE
# **Magnetization**: 0.00 μB/cell
# **Formation energy**: 0.529 eV per atom
# **Energy above the lowest structure with this stoichiometry**: 0.0 meV per atom
data_CdRe2Sn2
_chemical_formula_sum 'Cd2 Re4 Sn4'
_symmetry_space_group_name_H-M 'P 4/m b m'
_symmetry_Int_Tables_number 127
_symmetry_space_group_name_Hall '-P 4 2ab'
_cell_length_a 7.529
_cell_length_b 7.529
_cell_length_c 3.396
_cell_angle_alpha 90.00
_cell_angle_beta 90.00
_cell_angle_gamma 90.00
loop_
_atom_site_label
_atom_site_type_symbol
_atom_site_fract_x
_atom_site_fract_y
_atom_site_fract_z
_atom_site_occupancy
Cd1 Cd 0.000 0.000 0.000 1
Re1 Re 0.136 0.364 0.000 1
Sn1 Sn 0.159 0.659 0.500 1

No. 5
# TiCdReSn2, relaxed, DFT PBE
# **Magnetization**: 3.00 μB/cell
# **Formation energy**: 1.773 eV per atom
data_TiCdReSn2
_chemical_formula_sum 'Ti1 Cd1 Re1 Sn2'
_symmetry_space_group_name_H-M 'P 4/m m m'
_symmetry_Int_Tables_number 123
_symmetry_space_group_name_Hall '-P 4 2'
_cell_length_a 5.227
_cell_length_b 5.227
_cell_length_c 5.097
_cell_angle_alpha 90.00
_cell_angle_beta 90.00
_cell_angle_gamma 90.00
loop_
_atom_site_label
_atom_site_type_symbol
_atom_site_fract_x
_atom_site_fract_y
_atom_site_fract_z
_atom_site_occupancy
Ti1 Ti 0.000 0.000 0.000 1
Cd1 Cd 0.500 0.500 0.500 1
Re1 Re 0.500 0.500 0.000 1
Sn1 Sn 0.000 0.500 0.500 1

No. 6
# ZrCdRe2Sn, relaxed, DFT PBE
# **Magnetization**: 2.02 μB/cell
# **Formation energy**: 1.853 eV per atom
data_ZrCdRe2Sn
_chemical_formula_sum 'Zr1 Cd1 Re2 Sn1'
_symmetry_space_group_name_H-M 'P 4/m m m'
_symmetry_Int_Tables_number 123
_symmetry_space_group_name_Hall '-P 4 2'
_cell_length_a 4.936
_cell_length_b 4.936
_cell_length_c 4.904
_cell_angle_alpha 90.00
_cell_angle_beta 90.00
_cell_angle_gamma 90.00
loop_
_atom_site_label
_atom_site_type_symbol
_atom_site_fract_x
_atom_site_fract_y
_atom_site_fract_z
_atom_site_occupancy
Zr1 Zr 0.000 0.000 0.000 1
Cd1 Cd 0.500 0.500 0.000 1
Re1 Re 0.000 0.500 0.500 1
Sn1 Sn 0.500 0.500 0.500 1

Among the records above, which one has the highest formation energy?
ZrCdRe2Sn

Which of these has the highest magnetization?
TiCdReSn2

What did the first record say?
# CdRe2Sn2, relaxed, DFT PBE
# **Magnetization**: 0.53 μB/cell
# **Formation energy**: 0.783 eV per atom
# **Energy above the lowest structure with this stoichiometry**: 253.9 meV per atom
data_CdRe2Sn2
_chemical_formula_sum 'Cd2 Re4 Sn4'
_symmetry_space_group_name_H-M 'I 4/m m m'
_symmetry_Int_Tables_number 139
_symmetry_space_group_name_Hall '-I 4 2'
_cell_length_a 4.616
_cell_length_b 4.616
_cell_length_c 10.605
_cell_angle_alpha 90.00
_cell_angle_beta 90.00
_cell_angle_gamma 90.00
loop_
_atom_site_label
_atom_site_type_symbol
_atom_site_fract_x
_atom_site_fract_y
_atom_site_fract_z
_atom_site_occupancy
Cd1 Cd 0.000 0.000 0.000 1
Re1 Re 0.000 0.000 0.391 1
Sn1 Sn 0.000 0.500 0.250 1